No. 1
This record from the Alexandria database describes CdTeBr after structural relaxation. The functional is PBE-GGA.

Values from the calculation:
ΔE_f (raw)	-50.11	kJ per mole of atoms
V	206.79	Å³ per cell
M_tot	0.000	μB per formula unit
crystal system	monoclinic

a b c (Å): 6.197 6.197 6.073
angles (deg): 108.36 108.36 75.08
Positions (direct):
Cd  0.152  0.152  0.316
Cd  0.848  0.848  0.684
Te  0.557  0.287  0.650
Te  0.713  0.443  0.350
Br  0.250  0.027  0.863
Br  0.973  0.750  0.137



No. 2
This record from the Alexandria database describes CdTe2Br after structural relaxation. The functional is PBE-GGA.

Values from the calculation:
ΔE_f (raw)	-26.08	kJ per mole of atoms
DOS(E_F)	0.451	states/eV/atom
V	132.71	Å³ per cell
M_tot	0.000	μB per formula unit
crystal system	monoclinic

a b c (Å): 5.637 4.236 5.742
angles (deg): 90.00 104.54 90.00
Positions (direct):
Cd  0.000  0.000  0.000
Te  0.377  0.500  0.174
Te  0.623  0.500  0.826
Br  0.000  0.000  0.500



No. 3
This record from the Alexandria database describes Cd2TeBr after structural relaxation. The functional is PBE-GGA.

Values from the calculation:
ΔE_f (raw)	-25.86	kJ per mole of atoms
DOS(E_F)	0.285	states/eV/atom
V	118.22	Å³ per cell
M_tot	0.000	μB per formula unit
crystal system	monoclinic

a b c (Å): 4.068 3.945 7.368
angles (deg): 90.00 90.03 90.00
Positions (direct):
Cd  0.003  0.000  0.204
Cd  0.997  0.000  0.796
Te  0.500  0.500  0.000
Br  0.000  0.500  0.500



No. 4
This record from the Alexandria database describes CdTeBr6 after structural relaxation. The functional is PBE-GGA.

Values from the calculation:
ΔE_f (raw)	-44.31	kJ per mole of atoms
DOS(E_F)	0.000	states/eV/atom
V	261.49	Å³ per cell
M_tot	0.000	μB per formula unit
crystal system	trigonal

a b c (Å): 7.432 7.432 7.432
angles (deg): 55.72 55.72 55.72
Positions (direct):
Cd  0.000  0.000  0.000
Te  0.500  0.500  0.500
Br  0.089  0.742  0.420
Br  0.258  0.580  0.911
Br  0.420  0.089  0.742
Br  0.580  0.911  0.258
Br  0.742  0.420  0.089
Br  0.911  0.258  0.580



No. 5
This record from the Alexandria database describes Cd2TeBr after structural relaxation. The functional is PBE-GGA.

Values from the calculation:
ΔE_f (raw)	-21.50	kJ per mole of atoms
DOS(E_F)	0.142	states/eV/atom
V	147.15	Å³ per cell
M_tot	0.000	μB per formula unit
crystal system	orthorhombic

a b c (Å): 4.749 4.749 8.156
angles (deg): 90.00 90.00 126.87
Positions (direct):
Cd  0.000  0.000  0.239
Cd  0.000  0.000  0.761
Te  0.500  0.500  0.000
Br  0.500  0.500  0.500



No. 6
This record from the Alexandria database describes CdTeBr2 after structural relaxation. The functional is PBE-GGA.

Values from the calculation:
ΔE_f (raw)	-28.31	kJ per mole of atoms
DOS(E_F)	0.253	states/eV/atom
V	156.54	Å³ per cell
M_tot	0.000	μB per formula unit
crystal system	monoclinic

a b c (Å): 8.181 8.181 5.360
angles (deg): 100.56 100.56 26.38
Positions (direct):
Cd  0.000  0.000  0.000
Te  0.365  0.365  0.100
Br  0.616  0.616  0.958
Br  0.863  0.863  0.565



No. 7
This record from the Alexandria database describes CdTeBr2 after structural relaxation. The functional is PBE-GGA.

Values from the calculation:
ΔE_f (raw)	-21.41	kJ per mole of atoms
V	166.64	Å³ per cell
M_tot	0.000	μB per formula unit
crystal system	orthorhombic

a b c (Å): 4.856 4.856 9.536
angles (deg): 90.00 90.00 132.19
Positions (direct):
Cd  0.000  0.000  0.000
Te  0.500  0.500  0.777
Br  0.000  0.000  0.563
Br  0.500  0.500  0.190



No. 8
This record from the Alexandria database describes CdTeBr after structural relaxation. The functional is PBE-GGA.

Values from the calculation:
ΔE_f (raw)	-4.98	kJ per mole of atoms
DOS(E_F)	1.660	states/eV/atom
V	93.14	Å³ per cell
M_tot	0.001	μB per formula unit
crystal system	cubic

a b c (Å): 5.088 5.088 5.088
angles (deg): 60.00 60.00 60.00
Positions (direct):
Cd  0.000  0.000  0.000
Te  0.250  0.250  0.250
Br  0.750  0.750  0.750



| no. | DFT total energy (eV/atom) |
| --- | --- |
| 1 | -2.429 |
| 2 | -2.488 |
| 3 | -1.929 |
| 4 | -2.221 |
| 5 | -1.884 |
| 6 | -2.144 |
| 7 | -2.073 |
| 8 | -1.962 |